Pu2GeI2 PBE relaxed; raw formation energy = -0.737 eV per atom
1.0
-3.833 -1.655 1.072
-2.061 -2.614 -2.738
3.337 -10.456 4.460
Pu Ge I
2 1 2
direct
0.717 0.202 0.364
0.283 0.798 0.636
0.000 0.500 0.500
0.553 0.087 0.808
0.447 0.913 0.192

RuPbAu2 PBE relaxed; E_form = 0.31 eV/atom
1.0
4.015 0.735 0.000
-0.736 4.015 0.000
0.000 0.000 4.459
Au Pb Ru
2 1 1
direct
0.500 0.500 0.000
0.000 0.000 0.000
0.500 0.000 0.500
0.000 0.500 0.500

Ho4TmS6 PBE relaxed; raw formation energy = -2.018 eV per atom
1.0
3.790 0.000 0.000
-1.895 6.391 0.000
0.000 0.000 19.714
S Ho Tm
12 8 2
direct
0.948 0.896 0.668
0.500 0.000 0.500
0.770 0.540 0.411
0.052 0.104 0.168
0.052 0.104 0.332
0.948 0.896 0.832
0.500 0.000 0.000
0.696 0.391 0.750
0.770 0.540 0.089
0.230 0.460 0.911
0.230 0.460 0.589
0.304 0.609 0.250
0.591 0.182 0.872
0.861 0.722 0.540
0.409 0.818 0.372
0.591 0.182 0.628
0.409 0.818 0.128
0.861 0.722 0.960
0.139 0.278 0.040
0.139 0.278 0.460
0.651 0.303 0.250
0.349 0.697 0.750

| no. | V (Å³ per atom) | magnetic moment (μB/cell) |
| --- | --- | --- |
| 1 | 37.36 | 9.967 |
| 2 | 18.57 | 0.000 |
| 3 | 21.71 | 0.000 |